No. 1
The following is a DFT calculation (PBE) of an optimized crystal structure of Y2InCo.

Cell and atoms, written as POSCAR:
```
Y2InCo
1.0
3.4727 0.0000 0.0000
0.0000 3.4315 0.0099
0.0000 3.4101 7.7198
Y Co In
2 1 1
Cartesian
0.0000 3.4307 0.3009
0.0000 3.4217 3.5739
1.7364 1.7104 1.9324
1.7364 5.1313 5.7973
```

As for the total energy: -24.1 eV for the cell shown. Its space group is No. 47.

=====

No. 2
The following is a DFT calculation (PBE) of an optimized crystal structure of Y2InCo8.

Cell and atoms, written as POSCAR:
```
Y2InCo8
1.0
-2.7270 1.6046 1.4817
-0.1319 -2.4868 2.4505
9.2234 7.8551 8.4684
Co In Y
8 1 2
Cartesian
1.2554 -0.1180 2.4385
-0.0421 1.9277 1.9541
7.8360 5.4863 8.4804
6.5385 7.5321 7.9960
4.5457 2.6841 5.4594
3.2482 4.7299 4.9750
0.8167 1.4718 4.0283
5.5478 5.5011 8.3722
0.0000 0.0000 0.0000
3.1048 2.6442 2.8506
6.1186 5.2110 5.6178
```

As for the total energy: -69.6 eV for the cell shown. Its space group is No. 123.

=====

No. 3
The following is a DFT calculation (PBE) of an optimized crystal structure of Y2InCo.

Cell and atoms, written as POSCAR:
```
Y2InCo
1.0
-5.9135 -1.5783 -5.1716
1.0793 -2.2820 4.3660
-3.4388 0.5744 1.1491
Co In Y
1 1 2
Cartesian
-1.1798 -0.8538 2.7575
-2.4171 -1.9302 -0.4028
0.0000 0.0000 0.0000
-4.6762 -0.5020 -2.0113
```

As for the total energy: -23.6 eV for the cell shown. Its space group is No. 65.

=====

No. 4
The following is a DFT calculation (PBE) of an optimized crystal structure of YInCo.

Cell and atoms, written as POSCAR:
```
YInCo
1.0
-2.8937 2.9829 1.8550
-1.1170 -0.3470 4.3982
1.5142 3.0859 2.9827
Co In Y
1 1 1
Cartesian
-1.8724 4.2914 6.9269
0.0000 0.0000 0.0000
-1.2483 2.8609 4.6179
```

As for the total energy: -16.7 eV for the cell shown. Its space group is No. 216.

=====

What are the energy of formation values for these records? In order: -322 263 -202 -133 meV/atom.